The following is a DFT calculation (PBE) of LiCaNiSn after structural relaxation.

Properties
Uncorrected energy   -3.7954 eV/atom
ΔE_f   -1.5 eV/f.u.
DOS(E_F)   12.16 states/eV/cell

```
data_LiCaNiSn
_chemical_formula_sum 'Li4 Ca4 Ni4 Sn4'
_space_group_name_H-M_alt 'F -4 3 m'
_space_group_IT_number 216
_space_group_name_Hall 'F -4 2 3'
_cell_length_a 6.654
_cell_length_b 6.654
_cell_length_c 6.654
_cell_angle_alpha 90.00
_cell_angle_beta 90.00
_cell_angle_gamma 90.00
loop_
_atom_site_label
_atom_site_type_symbol
_atom_site_fract_x
_atom_site_fract_y
_atom_site_fract_z
Li1 Li 0.000 0.000 0.000
Ca1 Ca 0.250 0.250 0.750
Ni1 Ni 0.000 0.000 0.500
Sn1 Sn 0.250 0.250 0.250
```



The following is a DFT calculation (PBE) of Sr2LiCaNi after structural relaxation.

Properties
Uncorrected energy   -2.5951 eV/atom
ΔE_f   0.1 eV/f.u.
DOS(E_F)   2.45 states/eV/cell
Offset from the most stable computed form   0 meV per atom

```
data_Sr2LiCaNi
_chemical_formula_sum 'Sr2 Li1 Ca1 Ni1'
_space_group_name_H-M_alt 'P 4/m m m'
_space_group_IT_number 123
_space_group_name_Hall '-P 4 2'
_cell_length_a 5.835
_cell_length_b 5.835
_cell_length_c 5.497
_cell_angle_alpha 90.00
_cell_angle_beta 90.00
_cell_angle_gamma 90.00
loop_
_atom_site_label
_atom_site_type_symbol
_atom_site_fract_x
_atom_site_fract_y
_atom_site_fract_z
Sr1 Sr 0.000 0.500 0.000
Li1 Li 0.000 0.000 0.500
Ca1 Ca 0.500 0.500 0.500
Ni1 Ni 0.500 0.500 0.000
```



The following is a DFT calculation (PBE) of Sr2LiCaNi after structural relaxation.

Properties
Uncorrected energy   -2.4737 eV/atom
ΔE_f   0.7 eV/f.u.
DOS(E_F)   4.04 states/eV/cell
Offset from the most stable computed form   121 meV per atom

```
data_Sr2LiCaNi
_chemical_formula_sum 'Sr2 Li1 Ca1 Ni1'
_space_group_name_H-M_alt 'P 4/m m m'
_space_group_IT_number 123
_space_group_name_Hall '-P 4 2'
_cell_length_a 5.842
_cell_length_b 5.842
_cell_length_c 5.183
_cell_angle_alpha 90.00
_cell_angle_beta 90.00
_cell_angle_gamma 90.00
loop_
_atom_site_label
_atom_site_type_symbol
_atom_site_fract_x
_atom_site_fract_y
_atom_site_fract_z
Sr1 Sr 0.000 0.500 0.000
Li1 Li 0.000 0.000 0.500
Ca1 Ca 0.500 0.500 0.500
Ni1 Ni 0.000 0.000 0.000
```



The following is a DFT calculation (PBE) of LiCaTcNi2 after structural relaxation.

Properties
Uncorrected energy   -4.2092 eV/atom
ΔE_f   4.8 eV/f.u.
DOS(E_F)   5.28 states/eV/cell

```
data_LiCaTcNi2
_chemical_formula_sum 'Li1 Ca1 Tc1 Ni2'
_space_group_name_H-M_alt 'P 4/m m m'
_space_group_IT_number 123
_space_group_name_Hall '-P 4 2'
_cell_length_a 4.179
_cell_length_b 4.179
_cell_length_c 4.388
_cell_angle_alpha 90.00
_cell_angle_beta 90.00
_cell_angle_gamma 90.00
loop_
_atom_site_label
_atom_site_type_symbol
_atom_site_fract_x
_atom_site_fract_y
_atom_site_fract_z
Li1 Li 0.000 0.000 0.000
Ca1 Ca 0.000 0.000 0.500
Tc1 Tc 0.500 0.500 0.500
Ni1 Ni 0.000 0.500 0.000
```



The following is a DFT calculation (PBE) of LiCaTlNi after structural relaxation.

Properties
Uncorrected energy   -3.1425 eV/atom
ΔE_f   -0.5 eV/f.u.
DOS(E_F)   12.38 states/eV/cell

```
data_LiCaTlNi
_chemical_formula_sum 'Li4 Ca4 Tl4 Ni4'
_space_group_name_H-M_alt 'F -4 3 m'
_space_group_IT_number 216
_space_group_name_Hall 'F -4 2 3'
_cell_length_a 6.765
_cell_length_b 6.765
_cell_length_c 6.765
_cell_angle_alpha 90.00
_cell_angle_beta 90.00
_cell_angle_gamma 90.00
loop_
_atom_site_label
_atom_site_type_symbol
_atom_site_fract_x
_atom_site_fract_y
_atom_site_fract_z
Li1 Li 0.000 0.000 0.000
Ca1 Ca 0.250 0.250 0.250
Tl1 Tl 0.250 0.250 0.750
Ni1 Ni 0.000 0.000 0.500
```



The following is a DFT calculation (PBE) of LiCaTmNi after structural relaxation.

Properties
Uncorrected energy   -3.5755 eV/atom
ΔE_f   -0.1 eV/f.u.
DOS(E_F)   15.79 states/eV/cell

```
data_LiCaTmNi
_chemical_formula_sum 'Li4 Ca4 Tm4 Ni4'
_space_group_name_H-M_alt 'F -4 3 m'
_space_group_IT_number 216
_space_group_name_Hall 'F -4 2 3'
_cell_length_a 6.986
_cell_length_b 6.986
_cell_length_c 6.986
_cell_angle_alpha 90.00
_cell_angle_beta 90.00
_cell_angle_gamma 90.00
loop_
_atom_site_label
_atom_site_type_symbol
_atom_site_fract_x
_atom_site_fract_y
_atom_site_fract_z
Li1 Li 0.000 0.000 0.000
Ca1 Ca 0.250 0.250 0.750
Tm1 Tm 0.250 0.250 0.250
Ni1 Ni 0.000 0.000 0.500
```



The following is a DFT calculation (PBE) of LiCaYNi after structural relaxation.

Properties
Uncorrected energy   -4.0726 eV/atom
ΔE_f   -0.1 eV/f.u.
DOS(E_F)   17.30 states/eV/cell

```
data_LiCaYNi
_chemical_formula_sum 'Li4 Ca4 Y4 Ni4'
_space_group_name_H-M_alt 'F -4 3 m'
_space_group_IT_number 216
_space_group_name_Hall 'F -4 2 3'
_cell_length_a 7.057
_cell_length_b 7.057
_cell_length_c 7.057
_cell_angle_alpha 90.00
_cell_angle_beta 90.00
_cell_angle_gamma 90.00
loop_
_atom_site_label
_atom_site_type_symbol
_atom_site_fract_x
_atom_site_fract_y
_atom_site_fract_z
Li1 Li 0.000 0.000 0.000
Ca1 Ca 0.250 0.250 0.750
Y1 Y 0.250 0.250 0.250
Ni1 Ni 0.000 0.000 0.500
```



The following is a DFT calculation (PBE) of LiCaZnNi after structural relaxation.

Properties
Uncorrected energy   -2.8939 eV/atom
ΔE_f   -0.6 eV/f.u.
DOS(E_F)   4.21 states/eV/cell
Offset from the most stable computed form   0 meV per atom

```
data_LiCaZnNi
_chemical_formula_sum 'Li2 Ca2 Zn2 Ni2'
_space_group_name_H-M_alt 'C 1 m 1'
_space_group_IT_number 8
_space_group_name_Hall 'C -2y'
_cell_length_a 7.359
_cell_length_b 4.254
_cell_length_c 5.530
_cell_angle_alpha 90.00
_cell_angle_beta 116.99
_cell_angle_gamma 90.00
loop_
_atom_site_label
_atom_site_type_symbol
_atom_site_fract_x
_atom_site_fract_y
_atom_site_fract_z
Li1 Li 0.000 0.000 0.000
Ca1 Ca 0.199 0.000 0.594
Zn1 Zn 0.223 0.500 0.169
Ni1 Ni 0.403 0.000 0.208
```



The following is a DFT calculation (PBE) of Li2CaZnNi after structural relaxation.

Properties
Uncorrected energy   -2.5769 eV/atom
ΔE_f   0.0 eV/f.u.
DOS(E_F)   2.63 states/eV/cell

```
data_Li2CaZnNi
_chemical_formula_sum 'Li2 Ca1 Zn1 Ni1'
_space_group_name_H-M_alt 'P 4/m m m'
_space_group_IT_number 123
_space_group_name_Hall '-P 4 2'
_cell_length_a 4.623
_cell_length_b 4.623
_cell_length_c 4.679
_cell_angle_alpha 90.00
_cell_angle_beta 90.00
_cell_angle_gamma 90.00
loop_
_atom_site_label
_atom_site_type_symbol
_atom_site_fract_x
_atom_site_fract_y
_atom_site_fract_z
Li1 Li 0.000 0.500 0.000
Ca1 Ca 0.000 0.000 0.500
Zn1 Zn 0.500 0.500 0.500
Ni1 Ni 0.500 0.500 0.000
```



The following is a DFT calculation (PBE) of LiCaZn2Ni after structural relaxation.

Properties
Uncorrected energy   -2.5552 eV/atom
ΔE_f   -0.5 eV/f.u.
DOS(E_F)   2.60 states/eV/cell

```
data_LiCaZn2Ni
_chemical_formula_sum 'Li1 Ca1 Zn2 Ni1'
_space_group_name_H-M_alt 'P 4/m m m'
_space_group_IT_number 123
_space_group_name_Hall '-P 4 2'
_cell_length_a 4.650
_cell_length_b 4.650
_cell_length_c 4.541
_cell_angle_alpha 90.00
_cell_angle_beta 90.00
_cell_angle_gamma 90.00
loop_
_atom_site_label
_atom_site_type_symbol
_atom_site_fract_x
_atom_site_fract_y
_atom_site_fract_z
Li1 Li 0.000 0.000 0.000
Ca1 Ca 0.500 0.500 0.000
Zn1 Zn 0.000 0.500 0.500
Ni1 Ni 0.000 0.000 0.500
```



The following is a DFT calculation (PBE) of LiCaZnNi after structural relaxation.

Properties
Uncorrected energy   -2.8123 eV/atom
ΔE_f   -0.3 eV/f.u.
DOS(E_F)   7.07 states/eV/cell
Offset from the most stable computed form   82 meV per atom

```
data_LiCaZnNi
_chemical_formula_sum 'Li4 Ca4 Zn4 Ni4'
_space_group_name_H-M_alt 'F -4 3 m'
_space_group_IT_number 216
_space_group_name_Hall 'F -4 2 3'
_cell_length_a 6.512
_cell_length_b 6.512
_cell_length_c 6.512
_cell_angle_alpha 90.00
_cell_angle_beta 90.00
_cell_angle_gamma 90.00
loop_
_atom_site_label
_atom_site_type_symbol
_atom_site_fract_x
_atom_site_fract_y
_atom_site_fract_z
Li1 Li 0.000 0.000 0.000
Ca1 Ca 0.250 0.250 0.750
Zn1 Zn 0.250 0.250 0.250
Ni1 Ni 0.000 0.000 0.500
```



The following is a DFT calculation (PBE) of LiCa2NpO6 after structural relaxation.

Properties
Uncorrected energy   -7.5891 eV/atom
ΔE_f (raw)   -2.73 eV per atom

```
data_LiCa2NpO6
_chemical_formula_sum 'Li3 Ca6 Np3 O18'
_space_group_name_H-M_alt 'R 3'
_space_group_IT_number 146
_space_group_name_Hall 'R 3'
_cell_length_a 5.7290
_cell_length_b 5.7290
_cell_length_c 14.5048
_cell_angle_alpha 90.00
_cell_angle_beta 90.00
_cell_angle_gamma 120.00
loop_
_atom_site_label
_atom_site_type_symbol
_atom_site_fract_x
_atom_site_fract_y
_atom_site_fract_z
Li1 Li 0.0000 0.0000 0.0000
Ca1 Ca 0.0000 0.0000 0.2656
Ca2 Ca 0.0000 0.0000 0.7762
Np1 Np 0.0000 0.0000 0.4854
O1 O 0.0059 0.3986 0.2246
O2 O 0.0751 0.7076 0.0669
```